a:
First-principles (PBE-GGA) data for Sn3SeN after structural relaxation, as listed in Alexandria.

a = 4.8980 Å, b = 4.8980 Å, c = 4.8980 Å
α = 90.00°, β = 90.00°, γ = 90.00°
Fractional coordinates of all 5 atoms:
Sn  0.5000  0.0000  0.0000
Sn  0.0000  0.5000  0.0000
Sn  0.0000  0.0000  0.5000
Se  0.5000  0.5000  0.5000
N  0.0000  0.0000  0.0000

Output
The density of states at the Fermi level comes out at 0.52 states/eV/atom. For the calculated volume, the calculation gives 23.50 Å³/atom.



b:
First-principles (PBE-GGA) data for Sn3SeN after structural relaxation, as listed in Alexandria.

a = 5.5117 Å, b = 5.5117 Å, c = 5.5117 Å
α = 90.00°, β = 90.00°, γ = 90.00°
Fractional coordinates of all 5 atoms:
Sn  0.0000  0.0000  0.5000
Sn  0.5000  0.0000  0.0000
Sn  0.0000  0.5000  0.0000
N  0.5000  0.5000  0.5000
Se  0.0000  0.0000  0.0000

Output
The density of states at the Fermi level comes out at 0.51 states/eV/atom. For the calculated volume, the calculation gives 33.49 Å³/atom.



Relative to the most stable one, in eV/atom, the structures come out at a 0.000; b 1.092.



a:
First-principles (PBE-GGA) data for SnSeN after structural relaxation, as listed in Alexandria.

a = 4.3200 Å, b = 8.6192 Å, c = 10.5456 Å
α = 93.24°, β = 90.00°, γ = 90.00°
Fractional coordinates of all 12 atoms:
N  0.5870  0.9558  0.9831
N  0.0870  0.5442  0.0169
N  0.4130  0.0442  0.0169
N  0.9130  0.4558  0.9831
Se  0.7501  0.3660  0.3713
Se  0.7499  0.8660  0.3713
Se  0.2499  0.6340  0.6287
Se  0.2501  0.1340  0.6287
Sn  0.2503  0.6163  0.3703
Sn  0.7497  0.3837  0.6297
Sn  0.7503  0.8837  0.6297
Sn  0.2497  0.1163  0.3703

Output
For the calculated volume, the calculation gives 32.67 Å³/atom.



b:
First-principles (PBE-GGA) data for SnSeN after structural relaxation, as listed in Alexandria.

a = 5.7870 Å, b = 5.7870 Å, c = 7.5016 Å
α = 67.31°, β = 67.31°, γ = 60.00°
Site moments in Bohr magnetons follow the coordinates.
Fractional coordinates of all 9 atoms:
N  0.5308  0.9700  0.2202  0.09
N  0.2790  0.5308  0.2202  0.09
N  0.9700  0.2790  0.2202  0.09
Sn  0.3331  0.3331  0.0008  0.00
Sn  0.5998  0.5998  0.2007  0.00
Sn  0.1903  0.1903  0.4291  0.00
Se  0.9889  0.8246  0.7541  0.01
Se  0.4324  0.9889  0.7541  0.01
Se  0.8246  0.4324  0.7541  0.01

Output
The density of states at the Fermi level comes out at 0.71 states/eV/atom. For the calculated volume, the calculation gives 21.64 Å³/atom.



Relative to the most stable one, in eV/atom, the structures come out at a 0.000; b 0.789.



a:
First-principles (PBE-GGA) data for TcSnSe2N after structural relaxation, as listed in Alexandria.

a = 5.3644 Å, b = 5.3644 Å, c = 3.9732 Å
α = 90.00°, β = 90.00°, γ = 90.00°
Site moments in Bohr magnetons follow the coordinates.
Fractional coordinates of all 5 atoms:
N  0.0000  0.0000  0.5000  -0.45
Sn  0.0000  0.0000  0.0000  0.05
Se  0.5000  0.0000  0.0000  -0.01
Se  0.0000  0.5000  0.0000  -0.01
Tc  0.5000  0.5000  0.5000  3.88

Output
The density of states at the Fermi level comes out at 0.76 states/eV/atom. For the calculated volume, the calculation gives 22.87 Å³/atom.



b:
First-principles (PBE-GGA) data for TcSnSe2N after structural relaxation, as listed in Alexandria.

a = 5.1721 Å, b = 5.1721 Å, c = 3.7397 Å
α = 90.00°, β = 90.00°, γ = 90.00°
Fractional coordinates of all 5 atoms:
Se  0.5000  0.0000  0.0000
Se  0.0000  0.5000  0.0000
Tc  0.0000  0.0000  0.0000
N  0.0000  0.0000  0.5000
Sn  0.5000  0.5000  0.5000

Output
The density of states at the Fermi level comes out at 0.69 states/eV/atom. For the calculated volume, the calculation gives 20.01 Å³/atom.



Relative to the most stable one, in eV/atom, the structures come out at a 1.164; b 0.000.